[1]
The following is a DFT calculation (meta-GGA SCAN) of a crystal of CrAgRh relaxed with PBEsol.

The calculation puts the total magnetic moment at 2.98 μB per formula unit. Its volume is 207.2 Å³/cell. The formation energy comes out at 565 meV per atom. The calculation puts the distance to the lowest polymorph of the same formula at 0.424 eV/atom.

The structure belongs to space group F-43m (No. 216); the cell edges are 5.918, 5.918 and 5.918 Å and the angles 90.00°, 90.00° and 90.00°. Symmetry generates all atoms from Cr at (0.000, 0.000, 0.000), Ag at (0.000, 0.000, 0.500) and Rh at (0.250, 0.250, 0.750).



[2]
The following is a DFT calculation (meta-GGA SCAN) of a crystal of MgCr2W relaxed with PBEsol.

The calculation puts the total magnetic moment at 4.00 μB per formula unit. Its volume is 225.7 Å³/cell. The formation energy comes out at 256 meV per atom. The calculation puts the distance to the lowest polymorph of the same formula at 0.000 eV/atom.

The structure belongs to space group Fm-3m (No. 225); the cell edges are 6.089, 6.089 and 6.089 Å and the angles 90.00°, 90.00° and 90.00°. Symmetry generates all atoms from Mg at (0.000, 0.000, 0.000), Cr at (0.250, 0.250, 0.250) and W at (0.000, 0.000, 0.500).